Sm7RuBr12 | PBE | relaxed

Cell and atoms, written as POSCAR:
```
Sm7RuBr12
1.0
-3.502 4.121 7.770
1.265 -9.144 2.100
8.605 3.690 -1.399
Sm Ru Br
7 1 12
Direct
0.982 0.692 0.899
0.308 0.101 0.018
0.101 0.018 0.308
0.500 0.500 0.500
0.899 0.982 0.692
0.692 0.899 0.982
0.018 0.308 0.101
0.000 0.000 0.000
0.926 0.321 0.780
0.679 0.220 0.074
0.460 0.168 0.380
0.832 0.620 0.540
0.220 0.074 0.679
0.620 0.540 0.832
0.380 0.460 0.168
0.780 0.926 0.321
0.168 0.380 0.460
0.540 0.832 0.620
0.321 0.780 0.926
0.074 0.679 0.220
```

Summary:
DFT total energy, eV per atom: -4.70
Space-group type: R-3
Mass density, Mg/m³: 4.93
M_tot, μB per formula unit: 0.83
Crystal system: trigonal
Formation energy from raw total energies, eV/atom: -1.581

---

MgNi2Cl | PBE | relaxed

Cell and atoms, written as POSCAR:
```
MgNi2Cl
1.0
2.933 0.002 0.000
-1.167 2.691 0.000
0.000 0.000 7.612
Cl Mg Ni
1 1 2
Direct
0.500 0.500 0.250
0.500 0.500 0.750
0.000 0.000 0.016
0.000 0.000 0.484
```

Summary:
DFT total energy, eV per atom: -3.52
Space-group type: Cmmm
Mass density, Mg/m³: 4.90
M_tot, μB per formula unit: 0.52
Crystal system: orthorhombic
Formation energy from raw total energies, eV/atom: 0.227

---

TbHgPd3 | PBE | relaxed

Cell and atoms, written as POSCAR:
```
TbHgPd3
1.0
5.178 0.000 0.000
0.000 4.763 -2.527
0.000 1.036 7.705
Tb Hg Pd
2 2 6
Direct
0.750 0.809 0.618
0.250 0.191 0.382
0.750 0.431 0.862
0.250 0.569 0.138
0.750 0.880 0.272
0.750 0.392 0.272
0.250 0.608 0.728
0.250 0.120 0.728
0.000 0.000 0.000
0.500 0.000 0.000
```

Summary:
E_form, eV/atom: -0.47
DFT total energy, eV per atom: -4.57
Space-group type: Cmcm
Mass density, Mg/m³: 11.07
M_tot, μB per formula unit: 0.00
Crystal system: orthorhombic

---

BaTlAs2 | PBE | relaxed

Cell and atoms, written as POSCAR:
```
BaTlAs2
1.0
-1.043 6.941 3.738
-0.990 -5.123 2.462
2.324 0.783 2.562
As Tl Ba
2 1 1
Direct
0.000 0.000 0.000
0.500 0.000 0.500
0.500 0.500 0.000
0.000 0.500 0.500
```

Summary:
E_form, eV/atom: -0.27
DFT total energy, eV per atom: -3.67
Space-group type: Cmmm
Mass density, Mg/m³: 7.12
M_tot, μB per formula unit: 0.00
Crystal system: orthorhombic

---

Question: Look up the DFT total energy of the first one.
Answer: -4.70 eV per atom

---

Question: Which of these has the highest DFT total energy?
Answer: MgNi2Cl

---

Question: Look up the M_tot of the first one.
Answer: 0.83 μB per formula unit